# 1
Cs2NiHgN: relaxed, PBE.

Lattice parameters (Å, degrees): 6.6793 6.6793 3.5168 90.00 90.00 90.00
Last column: nearest neighbours and their distance in Å.
Fractional positions:
Cs: 0.0000 0.5000 0.0000  2 N 3.34, 2 Cs 3.52
Cs: 0.5000 0.0000 0.0000  2 N 3.34, 2 Cs 3.52
Ni: 0.0000 0.0000 0.5000  2 N 1.76
Hg: 0.5000 0.5000 0.5000  2 Hg 3.52, 8 Cs 3.77
N: 0.0000 0.0000 0.0000  2 Ni 1.76

Properties
- Fermi-level density of states: 0.67 states/eV/atom
- Energy relative to the elements, uncorrected: 0.0 eV per formula unit
- Energy: -3.216 eV per atom
- Calculated density: 5.71 g/cm³

***

# 2
Be2GeH: relaxed, PBE.

Lattice parameters (Å, degrees): 4.3174 4.3174 4.3174 141.64 91.39 101.04
Last column: nearest neighbours and their distance in Å.
Fractional positions:
Be: 0.1675 0.0000 0.1675  1 H 1.43
Be: 0.8325 0.0000 0.8325  1 H 1.43
Ge: 0.3191 0.8191 0.5000  6 Be 2.24-2.47
H: 0.8160 0.8160 0.0000  2 Be 1.43

Properties
- Fermi-level density of states: 0.07 states/eV/atom
- Offset from the most stable computed form: 20 kJ/mol of formula units
- Energy: -3.589 eV per atom
- Calculated density: 3.24 g/cm³

***

# 3
Pm2AlBi: relaxed, PBE.

Lattice parameters (Å, degrees): 4.0545 4.0545 6.8503 90.00 90.00 90.00
Last column: nearest neighbours and their distance in Å.
Fractional positions:
Pm: 0.0000 0.0000 0.2475  4 Al 3.33, 4 Bi 3.35, 2 Pm 3.39-3.46
Pm: 0.0000 0.0000 0.7525  4 Al 3.33, 4 Bi 3.35, 2 Pm 3.39-3.46
Al: 0.5000 0.5000 0.0000  8 Pm 3.33, 2 Bi 3.43
Bi: 0.5000 0.5000 0.5000  8 Pm 3.35, 2 Al 3.43

Properties
- Fermi-level density of states: 0.66 states/eV/atom
- Offset from the most stable computed form: 0 kJ/mol of formula units
- Formation energy from the elements: -11.7 kcal/mol of atoms
- Energy: -4.788 eV per atom
- Calculated density: 7.76 g/cm³

***

# 4
ScBeZn2B: relaxed, PBE.

Lattice parameters (Å, degrees): 5.2664 5.2664 4.7753 90.00 90.00 90.00
Last column: nearest neighbours and their distance in Å.
Fractional positions:
Sc: 0.0000 0.0000 0.0000  2 Be 2.39, 4 Zn 2.63
Be: 0.0000 0.0000 0.5000  2 Sc 2.39
Zn: 0.0000 0.5000 0.0000  2 Sc 2.63
Zn: 0.5000 0.0000 0.0000  2 Sc 2.63
B: 0.5000 0.5000 0.5000  8 Zn 3.55, 4 Be 3.72

Properties
- Fermi-level density of states: 1.18 states/eV/atom
- Formation energy from the elements: 46.6 kcal/mol of atoms
- Energy: -1.837 eV per atom
- Calculated density: 2.45 g/cm³

***

Repeat the second record exactly.
Be2GeH: relaxed, PBE.

Lattice parameters (Å, degrees): 4.3174 4.3174 4.3174 141.64 91.39 101.04
Last column: nearest neighbours and their distance in Å.
Fractional positions:
Be: 0.1675 0.0000 0.1675  1 H 1.43
Be: 0.8325 0.0000 0.8325  1 H 1.43
Ge: 0.3191 0.8191 0.5000  6 Be 2.24-2.47
H: 0.8160 0.8160 0.0000  2 Be 1.43

Properties
- Fermi-level density of states: 0.07 states/eV/atom
- Offset from the most stable computed form: 20 kJ/mol of formula units
- Energy: -3.589 eV per atom
- Calculated density: 3.24 g/cm³

***

> Look up the energy of the second one.

-3.589 eV per atom